## TeRhO2 (PBE-GGA)

Data for TeRhO2 after structural relaxation.

Output
* size of the total moment: 0.97 μB per formula unit
* VASP energy: -20.5 eV for the cell shown
* crystal system: trigonal
* uncorrected formation energy: -0.121 eV per formula unit

```
4
Lattice="-4.7451 -4.4943 3.4550 -4.2312 -5.9944 0.9032 -2.3169 -6.2459 3.2051" Properties=species:S:1:pos:R:3 pbc="T T T"
Te -5.6466 -8.3673 3.7816
Rh 0.0000 0.0000 0.0000
O -10.2898 -15.2478 6.8912
O -1.0034 -1.4868 0.6720
```

***

## Tl3TeRh2O6 (PBE-GGA)

Data for Tl3TeRh2O6 after structural relaxation.

Output
* size of the total moment: 0.00 μB per formula unit
* VASP energy: -61.9 eV for the cell shown
* crystal system: monoclinic
* uncorrected formation energy: -7.163 eV per formula unit

```
12
Lattice="-0.7435 5.6331 -0.0001 -1.9285 -3.1116 4.3456 6.9152 -0.0470 1.7912" Properties=species:S:1:pos:R:3 pbc="T T T"
Tl 1.7287 -1.6625 4.5094
Tl 2.5146 4.1371 1.6273
Tl 2.1216 1.2373 3.0684
Te 0.0000 0.0000 0.0000
Rh -1.5335 -0.1971 2.8973
Rh -1.1384 2.7187 1.4483
O 4.0610 3.4336 4.1824
O -0.9008 1.7647 3.3056
O 0.1823 -0.9590 1.9543
O 3.6529 0.4218 5.6791
O 5.1441 0.7099 2.8312
O 0.5904 2.0528 0.4576
```

***

## TlTe2RhO8 (PBE-GGA)

Data for TlTe2RhO8 after structural relaxation.

Output
* size of the total moment: 0.00 μB per formula unit
* VASP energy: -64.4 eV for the cell shown
* crystal system: trigonal
* uncorrected formation energy: -8.773 eV per formula unit

```
12
Lattice="5.2571 0.0000 0.0000 -2.6286 4.5528 0.0000 0.0000 0.0000 8.8443" Properties=species:S:1:pos:R:3 pbc="T T T"
Tl 0.0000 0.0000 0.0000
Te 2.6286 1.5176 2.7192
Te 0.0000 3.0352 6.1251
Rh 0.0000 0.0000 4.4221
O 0.0000 3.0352 7.9506
O 0.8007 1.4072 3.2152
O 1.0096 4.5426 3.2152
O 2.6286 1.5176 0.8937
O 1.6190 0.0102 5.6290
O 1.8279 3.1456 5.6290
O 4.4388 1.3970 5.6290
O -1.8102 3.1558 3.2152
```

***

## TlTeRhO4 (PBE-GGA)

Data for TlTeRhO4 after structural relaxation.

Output
* size of the total moment: 2.00 μB per formula unit
* VASP energy: -72.9 eV for the cell shown
* crystal system: orthorhombic
* uncorrected formation energy: -3.778 eV per formula unit

```
14
Lattice="6.0033 0.0590 0.0000 -2.3574 5.5214 0.0000 0.0000 0.0000 7.7948" Properties=species:S:1:pos:R:3 pbc="T T T"
Tl 1.8230 2.7902 3.8974
Tl 1.8230 2.7902 0.0000
Te -0.9369 4.5934 1.9487
Te 4.5828 0.9870 5.8461
Rh 4.7857 0.8545 1.9487
Rh -1.1398 4.7259 5.8461
O 0.5008 1.2138 5.8461
O 2.7355 4.6342 5.8461
O 4.3576 1.1342 0.1168
O 4.3576 1.1342 3.7806
O -0.7117 4.4462 7.6780
O -0.7117 4.4462 4.0142
O 3.1451 4.3666 1.9487
O 0.9104 0.9462 1.9487
```

***

## Tl2TeRhO6 (PBE-GGA)

Data for Tl2TeRhO6 after structural relaxation.

Output
* size of the total moment: 0.68 μB per formula unit
* VASP energy: -103.5 eV for the cell shown
* crystal system: trigonal
* uncorrected formation energy: -6.799 eV per formula unit

```
20
Lattice="-4.1570 2.7787 3.2921 -5.2381 -2.6840 1.0945 0.5788 -3.9342 9.4951" Properties=species:S:1:pos:R:3 pbc="T T T"
Tl -8.0457 -1.3476 7.3080
Tl -0.7707 -2.4919 6.5736
Tl -6.2527 -3.2640 11.1897
Tl -2.5637 -0.5756 2.6919
Te 0.0000 0.0000 0.0000
Te -4.4082 -1.9198 6.9408
Rh -5.4565 -0.7993 4.6713
Rh -3.3599 -3.0402 9.2103
O -5.3591 -0.1978 6.6126
O -5.8211 -2.5321 5.6735
O -3.5828 -1.3852 5.2058
O -3.4572 -3.6418 7.2690
O -2.9953 -1.3074 8.2081
O -5.2336 -2.4544 8.6758
O -3.5697 -1.9174 10.9595
O -4.1580 -4.8899 9.7637
O -1.3077 -3.4294 9.1682
O -5.2467 -1.9222 2.9221
O -4.6584 1.0503 4.1179
O -7.5086 -0.4102 4.7135
```

***

## ZnTeRh2O6 (PBE-GGA)

Data for ZnTeRh2O6 after structural relaxation.

Output
* size of the total moment: 0.00 μB per formula unit
* VASP energy: -57.1 eV for the cell shown
* crystal system: trigonal
* uncorrected formation energy: -8.245 eV per formula unit

```
10
Lattice="5.4654 0.0001 0.0002 2.7328 4.7332 0.0000 2.7328 1.5780 4.5358" Properties=species:S:1:pos:R:3 pbc="T T T"
Zn 8.1983 4.7335 2.7157
Te 2.7327 1.5778 0.3786
Rh 5.4655 3.1557 1.9875
Rh 2.7328 1.5780 4.3087
O 4.8005 1.4398 1.0618
O 4.3120 4.5893 1.0617
O 7.2839 3.4376 1.0617
O 6.1956 4.5373 3.3910
O 6.2970 1.8327 3.3911
O 3.9040 3.0972 3.3910
```

***

## ZnTeRhO6 (PBE-GGA)

Data for ZnTeRhO6 after structural relaxation.

Output
* size of the total moment: 0.99 μB per formula unit
* VASP energy: -99.9 eV for the cell shown
* crystal system: trigonal
* uncorrected formation energy: -8.414 eV per formula unit

```
18
Lattice="-3.4040 1.9245 -3.4067 -1.3775 -3.9113 3.1145 -2.8362 5.9171 6.1767" Properties=species:S:1:pos:R:3 pbc="T T T"
Zn 0.0000 0.0000 0.0000
Zn -1.4181 2.9586 3.0883
Te -3.4376 1.4585 0.3112
Te -4.1801 2.4718 5.5733
Rh -2.7621 -0.4868 2.4849
Rh -4.8556 4.4171 3.3995
O -3.4810 -0.4952 0.6077
O -4.2409 1.3305 -1.4901
O -4.3492 0.5171 5.8130
O -3.3768 2.5998 7.3746
O -2.7287 1.4960 2.1559
O -5.3219 1.5660 0.8981
O -6.0334 2.4898 6.2602
O -3.2685 3.4131 0.0715
O -2.2958 2.3642 4.9864
O -1.5843 1.4405 -0.3757
O -4.8890 2.4342 3.7286
O -4.1367 4.4255 5.2768
```

***

## ZrTeRhO6 (PBE-GGA)

Data for ZrTeRhO6 after structural relaxation.

Output
* size of the total moment: 0.00 μB per formula unit
* VASP energy: -123.4 eV for the cell shown
* crystal system: trigonal
* uncorrected formation energy: -12.914 eV per formula unit

```
18
Lattice="-0.8675 -1.8588 5.0080 2.8469 -2.9557 -3.5280 7.3630 3.8596 2.7079" Properties=species:S:1:pos:R:3 pbc="T T T"
Zr 3.4495 -1.6252 -0.0057
Zr 5.8929 0.6702 4.1936
Te 2.2114 -1.2595 2.8397
Te 7.1310 0.3046 1.3483
Rh 0.0000 0.0000 0.0000
Rh 3.6815 1.9298 1.3540
O 2.2343 -2.7178 1.3560
O 1.0068 -2.3364 4.1502
O 7.1506 -1.1338 -0.1547
O 8.3356 1.3815 0.0377
O 3.4017 -0.1596 1.5352
O 3.7792 -2.3624 3.6483
O 8.6878 -0.7950 2.1823
O 2.1917 0.1789 4.3426
O 5.5632 1.4075 0.5396
O 0.6546 -0.1599 2.0056
O 5.9407 -0.7953 2.6528
O 7.1080 1.7628 2.8320
```